No. 1
# KNbMo2As | Alexandria | GGA-PBEsol | optimized geometry
# Total energy (eV/atom): -6.711
data_KNbMo2As
_chemical_formula_sum 'K1 Nb1 Mo2 As1'
_symmetry_space_group_name_H-M 'P 4/m m m'
_symmetry_Int_Tables_number 123
_symmetry_space_group_name_Hall '-P 4 2'
_cell_length_a 4.728
_cell_length_b 4.728
_cell_length_c 4.887
_cell_angle_alpha 90.00
_cell_angle_beta 90.00
_cell_angle_gamma 90.00
loop_
_atom_site_label
_atom_site_fract_x
_atom_site_fract_y
_atom_site_fract_z
_atom_site_occupancy
K1 0.000 0.000 0.000 1
Nb1 0.500 0.500 0.000 1
Mo1 0.000 0.500 0.500 1
As1 0.500 0.500 0.500 1

No. 2
# BeAgCl | Alexandria | GGA-PBEsol | optimized geometry
# Energy relative to the elements, uncorrected (eV/atom): 0.819
data_BeAgCl
_chemical_formula_sum 'Be4 Ag4 Cl4'
_symmetry_space_group_name_H-M 'F -4 3 m'
_symmetry_Int_Tables_number 216
_symmetry_space_group_name_Hall 'F -4 2 3'
_cell_length_a 6.125
_cell_length_b 6.125
_cell_length_c 6.125
_cell_angle_alpha 90.00
_cell_angle_beta 90.00
_cell_angle_gamma 90.00
loop_
_atom_site_label
_atom_site_fract_x
_atom_site_fract_y
_atom_site_fract_z
_atom_site_occupancy
Be1 0.000 0.000 0.000 1
Ag1 0.000 0.000 0.500 1
Cl1 0.250 0.250 0.750 1

No. 3
# InSi2Te | Alexandria | GGA-PBEsol | optimized geometry
# E above lowest polymorph (eV/atom): 0.2928
# Energy relative to the elements, uncorrected (eV/atom): 0.460
data_InSi2Te
_chemical_formula_sum 'In2 Si4 Te2'
_symmetry_space_group_name_H-M 'I m m m'
_symmetry_Int_Tables_number 71
_symmetry_space_group_name_Hall '-I 2 2'
_cell_length_a 3.565
_cell_length_b 5.245
_cell_length_c 9.093
_cell_angle_alpha 90.00
_cell_angle_beta 90.00
_cell_angle_gamma 90.00
loop_
_atom_site_label
_atom_site_fract_x
_atom_site_fract_y
_atom_site_fract_z
_atom_site_occupancy
In1 0.000 0.000 0.000 1
Si1 0.000 0.500 0.244 1
Te1 0.000 0.000 0.500 1

No. 4
# ZrSi2Ag | Alexandria | GGA-PBEsol | optimized geometry
# Energy relative to the elements, uncorrected (eV/atom): -0.352
data_ZrSi2Ag
_chemical_formula_sum 'Zr1 Si2 Ag1'
_symmetry_space_group_name_H-M 'P m m m'
_symmetry_Int_Tables_number 47
_cell_length_a 2.991
_cell_length_b 4.074
_cell_length_c 5.478
_cell_angle_alpha 90.00
_cell_angle_beta 90.00
_cell_angle_gamma 90.00
loop_
_symmetry_equiv_pos_as_xyz
'x,y,z'
'-x,-y,-z'
'-x,-y,z'
'x,y,-z'
'x,-y,-z'
'-x,y,z'
'-x,y,-z'
'x,-y,z'
loop_
_atom_site_label
_atom_site_fract_x
_atom_site_fract_y
_atom_site_fract_z
_atom_site_occupancy
Zr1 0.000 0.000 0.000 1
Si1 0.500 0.500 0.227 1
Ag1 0.500 0.000 0.500 1

No. 5
# LaCoCl2 | Alexandria | GGA-PBEsol | optimized geometry
# E above lowest polymorph (eV/atom): 0.0000
# Energy relative to the elements, uncorrected (eV/atom): -1.088
data_LaCoCl2
_chemical_formula_sum 'La1 Co1 Cl2'
_symmetry_space_group_name_H-M 'P 1 m 1'
_symmetry_Int_Tables_number 6
_cell_length_a 3.813
_cell_length_b 3.844
_cell_length_c 5.919
_cell_angle_alpha 90.00
_cell_angle_beta 108.78
_cell_angle_gamma 90.00
loop_
_symmetry_equiv_pos_as_xyz
'x,y,z'
'x,-y,z'
loop_
_atom_site_label
_atom_site_fract_x
_atom_site_fract_y
_atom_site_fract_z
_atom_site_occupancy
La1 0.000 0.000 0.000 1
Co1 0.413 0.500 0.830 1
Cl1 0.302 0.000 0.604 1
Cl2 0.611 0.500 0.221 1

No. 6
# BaAlIn2 | Alexandria | GGA-PBEsol | optimized geometry
# Total energy (eV/atom): -3.206
data_BaAlIn2
_chemical_formula_sum 'Ba1 Al1 In2'
_symmetry_space_group_name_H-M 'P 1 2/m 1'
_symmetry_Int_Tables_number 10
_cell_length_a 3.456
_cell_length_b 4.647
_cell_length_c 7.146
_cell_angle_alpha 90.00
_cell_angle_beta 101.21
_cell_angle_gamma 90.00
loop_
_symmetry_equiv_pos_as_xyz
'x,y,z'
'-x,-y,-z'
'-x,y,-z'
'x,-y,z'
loop_
_atom_site_label
_atom_site_fract_x
_atom_site_fract_y
_atom_site_fract_z
_atom_site_occupancy
Ba1 0.000 0.000 0.000 1
Al1 0.500 0.000 0.500 1
In1 0.339 0.500 0.697 1